Compound: LuAgAu2
Source: Alexandria
Functional: PBE-GGA
Structure: optimized geometry

a = 4.5043 Å, b = 4.5043 Å, c = 3.9416 Å
α = 90.00°, β = 90.00°, γ = 90.00°
Last column: nearest neighbours and their distance in Å.
Atoms (fractional coordinates):
1 Lu 0.0000 0.0000 0.0000  8 Au 2.99, 4 Ag 3.18
2 Ag 0.5000 0.5000 0.0000  8 Au 2.99, 4 Lu 3.18
3 Au 0.0000 0.5000 0.5000  4 Ag 2.99, 4 Lu 2.99, 4 Au 3.18
4 Au 0.5000 0.0000 0.5000  4 Ag 2.99, 4 Lu 2.99, 4 Au 3.18

## Properties
* space-group type: P4/mmm, No. 123
* VASP energy: -3.97 eV/atom
* calculated formation energy: -0.4873 eV/atom

Compound: Lu2AgAu
Source: Alexandria
Functional: PBE-GGA
Structure: optimized geometry

a = 7.0834 Å, b = 7.0834 Å, c = 7.0834 Å
α = 90.00°, β = 90.00°, γ = 90.00°
Last column: nearest neighbours and their distance in Å.
Atoms (fractional coordinates):
1 Lu 0.2500 0.2500 0.2500  4 Ag 3.07, 4 Au 3.07
2 Lu 0.2500 0.2500 0.7500  4 Au 3.07, 4 Ag 3.07
3 Lu 0.2500 0.7500 0.2500  4 Au 3.07, 4 Ag 3.07
4 Lu 0.2500 0.7500 0.7500  4 Ag 3.07, 4 Au 3.07
5 Lu 0.7500 0.2500 0.2500  4 Au 3.07, 4 Ag 3.07
6 Lu 0.7500 0.2500 0.7500  4 Ag 3.07, 4 Au 3.07
7 Lu 0.7500 0.7500 0.2500  4 Ag 3.07, 4 Au 3.07
8 Lu 0.7500 0.7500 0.7500  4 Au 3.07, 4 Ag 3.07
9 Ag 0.0000 0.0000 0.0000  8 Lu 3.07
10 Ag 0.0000 0.5000 0.5000  8 Lu 3.07
11 Ag 0.5000 0.0000 0.5000  8 Lu 3.07
12 Ag 0.5000 0.5000 0.0000  8 Lu 3.07
13 Au 0.0000 0.0000 0.5000  8 Lu 3.07
14 Au 0.0000 0.5000 0.0000  8 Lu 3.07
15 Au 0.5000 0.0000 0.0000  8 Lu 3.07
16 Au 0.5000 0.5000 0.5000  8 Lu 3.07

## Properties
* space-group type: Fm-3m, No. 225
* excess energy over the best structure of this formula in the dataset: 3.9 meV per atom
* VASP energy: -4.42 eV/atom
* calculated formation energy: -0.6231 eV/atom

Compound: LuAgAu
Source: Alexandria
Functional: PBE-GGA
Structure: optimized geometry

a = 3.6714 Å, b = 3.6714 Å, c = 9.0500 Å
α = 90.00°, β = 90.00°, γ = 90.00°
Last column: nearest neighbours and their distance in Å.
Atoms (fractional coordinates):
1 Lu 0.0000 0.0000 0.0000  5 Au 2.97-3.09, 5 Ag 2.97-3.03
2 Lu 0.5000 0.5000 0.5000  5 Au 2.97-3.09, 5 Ag 2.97-3.03
3 Ag 0.0000 0.0000 0.6720  5 Lu 2.97-3.03, 5 Au 2.99-3.01
4 Ag 0.5000 0.5000 0.1720  5 Lu 2.97-3.03, 5 Au 2.99-3.01
5 Au 0.0000 0.0000 0.3411  5 Lu 2.97-3.09, 5 Ag 2.99-3.01
6 Au 0.5000 0.5000 0.8411  5 Lu 2.97-3.09, 5 Ag 2.99-3.01

## Properties
* space-group type: I4mm, No. 107
* excess energy over the best structure of this formula in the dataset: 0.0 meV per atom
* VASP energy: -4.19 eV/atom
* calculated formation energy: -0.6379 eV/atom

Compound: Lu2AgAu
Source: Alexandria
Functional: PBE-GGA
Structure: optimized geometry

a = 5.0258 Å, b = 5.0258 Å, c = 3.5099 Å
α = 90.00°, β = 90.00°, γ = 90.00°
Last column: nearest neighbours and their distance in Å.
Atoms (fractional coordinates):
1 Lu 0.0000 0.5000 0.0000  4 Ag 3.07, 4 Au 3.07
2 Lu 0.5000 0.0000 0.0000  4 Ag 3.07, 4 Au 3.07
3 Ag 0.0000 0.0000 0.5000  8 Lu 3.07
4 Au 0.5000 0.5000 0.5000  8 Lu 3.07

## Properties
* space-group type: P4/mmm, No. 123
* excess energy over the best structure of this formula in the dataset: 0.0 meV per atom
* VASP energy: -4.42 eV/atom
* calculated formation energy: -0.6270 eV/atom

Compound: LuAgAu2
Source: Alexandria
Functional: PBE-GGA
Structure: optimized geometry

a = 3.5426 Å, b = 3.5426 Å, c = 6.3221 Å
α = 90.00°, β = 90.00°, γ = 90.00°
Last column: nearest neighbours and their distance in Å.
Atoms (fractional coordinates):
1 Lu 0.0000 0.0000 0.0000  8 Au 2.99, 2 Ag 3.16
2 Ag 0.0000 0.0000 0.5000  8 Au 2.94, 2 Lu 3.16
3 Au 0.5000 0.5000 0.2572  4 Ag 2.94, 4 Lu 2.99, 2 Au 3.07-3.25
4 Au 0.5000 0.5000 0.7428  4 Ag 2.94, 4 Lu 2.99, 2 Au 3.07-3.25

## Properties
* space-group type: P4/mmm, No. 123
* VASP energy: -4.05 eV/atom
* calculated formation energy: -0.5708 eV/atom

Compound: LuAgAu
Source: Alexandria
Functional: PBE-GGA
Structure: optimized geometry

a = 6.6091 Å, b = 6.6091 Å, c = 6.6091 Å
α = 90.00°, β = 90.00°, γ = 90.00°
Last column: nearest neighbours and their distance in Å.
Atoms (fractional coordinates):
1 Lu 0.0000 0.0000 0.0000  4 Au 2.86
2 Lu 0.0000 0.5000 0.5000  4 Au 2.86
3 Lu 0.5000 0.0000 0.5000  4 Au 2.86
4 Lu 0.5000 0.5000 0.0000  4 Au 2.86
5 Ag 0.0000 0.0000 0.5000  4 Au 2.86
6 Ag 0.0000 0.5000 0.0000  4 Au 2.86
7 Ag 0.5000 0.0000 0.0000  4 Au 2.86
8 Ag 0.5000 0.5000 0.5000  4 Au 2.86
9 Au 0.2500 0.2500 0.2500  4 Lu 2.86, 4 Ag 2.86
10 Au 0.2500 0.7500 0.7500  4 Lu 2.86, 4 Ag 2.86
11 Au 0.7500 0.2500 0.7500  4 Lu 2.86, 4 Ag 2.86
12 Au 0.7500 0.7500 0.2500  4 Lu 2.86, 4 Ag 2.86

## Properties
* space-group type: F-43m, No. 216
* excess energy over the best structure of this formula in the dataset: 198.1 meV per atom
* VASP energy: -3.99 eV/atom
* calculated formation energy: -0.4398 eV/atom